Entry from Alexandria: PrV2PtO8 after structural relaxation (PBE with a Hubbard U).

```
PrV2PtO8
1.0
5.622 0.000 0.000
-2.811 4.869 0.000
0.000 0.000 6.717
Pr V Pt O
1 2 1 8
Cartesian
0.000 0.000 0.000
0.000 3.246 1.518
2.811 1.623 5.199
0.000 0.000 3.359
0.000 1.532 1.962
-1.484 4.103 1.962
1.327 0.766 4.755
0.000 3.246 6.555
2.811 1.623 0.162
1.484 4.103 1.962
4.295 0.766 4.755
2.811 3.337 4.755
```

Computed properties:
Final energy = -7.23 eV per atom
Crystal system = trigonal
V = 15.3 Å³/atom
Calculated density = 5.11 g/cm3